# CaTb3Pm2Pr6 PBE optimized geometry
data_CaTb3Pm2Pr6
_chemical_formula_sum 'Ca2 Tb6 Pm4 Pr12'
_space_group_name_H-M_alt 'C 1 2/m 1'
_space_group_IT_number 12
_space_group_name_Hall '-C 2y'
_cell_length_a 6.379
_cell_length_b 11.051
_cell_length_c 12.091
_cell_angle_alpha 90.00
_cell_angle_beta 100.06
_cell_angle_gamma 90.00
loop_
_atom_site_label
_atom_site_type_symbol
_atom_site_fract_x
_atom_site_fract_y
_atom_site_fract_z
_atom_site_occupancy
Ca1 Ca 0.000 0.000 0.000 1
Tb1 Tb 0.000 0.166 0.500 1
Tb2 Tb 0.000 0.500 0.500 1
Pm1 Pm 0.000 0.333 0.000 1
Pr1 Pr 0.245 0.331 0.745 1
Pr2 Pr 0.247 0.500 0.256 1
# Crystal system: monoclinic



# CaTb3Pm6Pr2 PBE optimized geometry
data_CaTb3Pm6Pr2
_chemical_formula_sum 'Ca2 Tb6 Pm12 Pr4'
_space_group_name_H-M_alt 'C 1 2/m 1'
_space_group_IT_number 12
_space_group_name_Hall '-C 2y'
_cell_length_a 6.329
_cell_length_b 10.965
_cell_length_c 12.082
_cell_angle_alpha 90.00
_cell_angle_beta 100.03
_cell_angle_gamma 90.00
loop_
_atom_site_label
_atom_site_type_symbol
_atom_site_fract_x
_atom_site_fract_y
_atom_site_fract_z
_atom_site_occupancy
Ca1 Ca 0.000 0.000 0.000 1
Tb1 Tb 0.000 0.166 0.500 1
Tb2 Tb 0.000 0.500 0.500 1
Pm1 Pm 0.245 0.331 0.744 1
Pm2 Pm 0.249 0.500 0.257 1
Pr1 Pr 0.000 0.333 0.000 1
# Crystal system: monoclinic



Listing total DFT energy (no corrections) for the structures above in their given order: -4.48; -4.47 eV/atom.
Listing density for the structures above in their given order: 6.54; 6.71 Mg/m³.